Here is a relaxed Pr3HgIr crystal from the Alexandria database. Energies are from GGA-PBE.

Cell and atoms, written as POSCAR:
```
Pr3HgIr
1.0
5.588 0.000 0.000
0.000 5.588 0.000
0.000 0.000 5.588
Pr Ir Hg
3 1 1
direct
0.000 0.500 0.000 Pr
0.000 0.000 0.500 Pr
0.500 0.000 0.000 Pr
0.000 0.000 0.000 Ir
0.500 0.500 0.500 Hg
```

Total energy ... -4.943 eV/atom
Energy relative to the lowest polymorph listed for this composition ... 252 meV/atom
Volume ... 174.5 Å³/cell
Formation enthalpy at 0 K ... -0.24 eV per atom
Magnetization ... 0.00 μB/cell